Material: YMg
Method: DFT, GGA-PBE
State: relaxed

Cell: 8.3077 8.3077 5.4578 Å, 90.00 90.00 153.78°
Each line ends with the local moment (μB).
Fractional positions:
1 Mg 0.4808 0.5192 0.5000  0.00
2 Mg 0.3055 0.6945 0.0000  0.00
3 Mg 0.1308 0.8692 0.5000  0.00
4 Y 0.8055 0.1945 0.5000  0.03
5 Y 0.9662 0.0338 0.0000  0.12
6 Y 0.6445 0.3555 0.0000  0.12

Summary:
For the total energy, the calculation gives -4.084 eV per atom. Its formation energy is -0.05 eV/atom.